The following is a DFT calculation (PBE-GGA) of a relaxed Eu3NiBi crystal.

Properties
spin magnetization: 21.6 μB per formula unit
Fermi-level density of states: 17.79 states/eV/cell
ΔE_f: -0.39 eV per atom

a b c (Å): 5.4352 5.4352 5.4352
angles (deg): 90.00 90.00 90.00
With the nearest neighbours (Å) after each atom.
Element x y z (fractional)
Eu (0.0000, 0.5000, 0.0000)  2 Ni 2.72
Eu (0.0000, 0.0000, 0.5000)  2 Ni 2.72
Eu (0.5000, 0.0000, 0.0000)  2 Ni 2.72
Ni (0.0000, 0.0000, 0.0000)  6 Eu 2.72
Bi (0.5000, 0.5000, 0.5000)  12 Eu 3.84

---

The following is a DFT calculation (PBE-GGA) of a relaxed Pu2CdAu crystal.

Properties
spin magnetization: 12.5 μB per formula unit
Fermi-level density of states: 14.66 states/eV/cell
polymorph energy (0 for the lowest one): 340 meV/atom
ΔE_f: 0.15 eV per atom

a b c (Å): 3.2546 3.2546 11.6149
angles (deg): 81.95 81.95 60.00
With the nearest neighbours (Å) after each atom.
Element x y z (fractional)
Cd (0.0000, 0.0000, 0.0000)  2 Pu 3.25, 6 Cd 3.25
Au (0.5000, 0.5000, 0.5000)  6 Pu 3.11, 6 Au 3.25
Pu (0.0944, 0.0944, 0.7168)  3 Au 3.11, 1 Cd 3.25, 6 Pu 3.25
Pu (0.9056, 0.9056, 0.2832)  3 Au 3.11, 1 Cd 3.25, 6 Pu 3.25

---

Q: Which formula does entry 1 have?
A: Eu3NiBi

---

Q: What is the formula in the second record?
A: Pu2CdAu

---

Q: ΔE_f of number 2 (Pu2CdAu)?
A: 0.15 eV per atom